# 1
The following is a DFT calculation (PBE-GGA) of a relaxed Ca3VIn crystal.

Properties
Crystal system ... cubic
Space-group type ... Pm-3m (221)
ΔE to the lowest computed polymorph ... 0.0678 eV/atom
ρ ... 2.315 g cm⁻³
ΔH_f (0 K) ... 0.649 eV/atom
Magnetic moment ... 4.07 μB/f.u.

CIF file:
```
data_Ca3VIn
_chemical_formula_sum 'Ca3 V1 In1'
_space_group_name_H-M_alt 'P 1'
_space_group_IT_number 1
_space_group_name_Hall 'P 1'
_cell_length_a 5.898
_cell_length_b 5.898
_cell_length_c 5.898
_cell_angle_alpha 90.00
_cell_angle_beta 90.00
_cell_angle_gamma 90.00
loop_
_atom_site_label
_atom_site_type_symbol
_atom_site_fract_x
_atom_site_fract_y
_atom_site_fract_z
_atom_site_occupancy
Ca1 Ca 0.000 0.000 0.500 1
Ca2 Ca 0.000 0.500 0.000 1
Ca3 Ca 0.500 0.000 0.000 1
V1 V 0.500 0.500 0.500 1
In1 In 0.000 0.000 0.000 1
```

***

# 2
The following is a DFT calculation (PBE-GGA) of a relaxed Ca3VIn crystal.

Properties
Crystal system ... cubic
Space-group type ... Pm-3m (221)
ΔE to the lowest computed polymorph ... 0.0000 eV/atom
ρ ... 2.534 g cm⁻³
ΔH_f (0 K) ... 0.582 eV/atom
Magnetic moment ... 4.25 μB/f.u.

CIF file:
```
data_Ca3VIn
_chemical_formula_sum 'Ca3 V1 In1'
_space_group_name_H-M_alt 'P 1'
_space_group_IT_number 1
_space_group_name_Hall 'P 1'
_cell_length_a 5.722
_cell_length_b 5.722
_cell_length_c 5.722
_cell_angle_alpha 90.00
_cell_angle_beta 90.00
_cell_angle_gamma 90.00
loop_
_atom_site_label
_atom_site_type_symbol
_atom_site_fract_x
_atom_site_fract_y
_atom_site_fract_z
_atom_site_occupancy
Ca1 Ca 0.000 0.000 0.500 1
Ca2 Ca 0.000 0.500 0.000 1
Ca3 Ca 0.500 0.000 0.000 1
V1 V 0.000 0.000 0.000 1
In1 In 0.500 0.500 0.500 1
```

***

# 3
The following is a DFT calculation (PBE-GGA) of a relaxed CaIn2W crystal.

Properties
Crystal system ... cubic
Space-group type ... Fm-3m (225)
ΔE to the lowest computed polymorph ... 0.1945 eV/atom
ρ ... 8.515 g cm⁻³
ΔH_f (0 K) ... 0.448 eV/atom
Magnetic moment ... 1.96 μB/f.u.

CIF file:
```
data_CaIn2W
_chemical_formula_sum 'Ca1 In2 W1'
_space_group_name_H-M_alt 'P 1'
_space_group_IT_number 1
_space_group_name_Hall 'P 1'
_cell_length_a 5.001
_cell_length_b 5.001
_cell_length_c 5.001
_cell_angle_alpha 60.00
_cell_angle_beta 60.00
_cell_angle_gamma 60.00
loop_
_atom_site_label
_atom_site_type_symbol
_atom_site_fract_x
_atom_site_fract_y
_atom_site_fract_z
_atom_site_occupancy
Ca1 Ca 0.000 0.000 0.000 1
In1 In 0.250 0.250 0.250 1
In2 In 0.750 0.750 0.750 1
W1 W 0.500 0.500 0.500 1
```

***

# 4
The following is a DFT calculation (PBE-GGA) of a relaxed CaInW2 crystal.

Properties
Crystal system ... orthorhombic
Space-group type ... Cmm2 (35)
ρ ... 10.667 g cm⁻³
ΔH_f (0 K) ... 0.480 eV/atom
Magnetic moment ... 0.00 μB/f.u.

CIF file:
```
data_CaInW2
_chemical_formula_sum 'Ca1 In1 W2'
_space_group_name_H-M_alt 'P 1'
_space_group_IT_number 1
_space_group_name_Hall 'P 1'
_cell_length_a 2.983
_cell_length_b 2.983
_cell_length_c 9.743
_cell_angle_alpha 90.00
_cell_angle_beta 90.00
_cell_angle_gamma 110.24
loop_
_atom_site_label
_atom_site_type_symbol
_atom_site_fract_x
_atom_site_fract_y
_atom_site_fract_z
_atom_site_occupancy
Ca1 Ca 0.000 0.000 0.000 1
In1 In 0.500 0.500 0.284 1
W1 W 0.000 0.000 0.532 1
W2 W 0.500 0.500 0.733 1
```

***

# 5
The following is a DFT calculation (PBE-GGA) of a relaxed CaInW2 crystal.

Properties
Crystal system ... orthorhombic
Space-group type ... Pmmm (47)
ρ ... 10.878 g cm⁻³
ΔH_f (0 K) ... 0.837 eV/atom
Magnetic moment ... 0.00 μB/f.u.

CIF file:
```
data_CaInW2
_chemical_formula_sum 'Ca1 In1 W2'
_space_group_name_H-M_alt 'P 1'
_space_group_IT_number 1
_space_group_name_Hall 'P 1'
_cell_length_a 2.789
_cell_length_b 4.990
_cell_length_c 5.731
_cell_angle_alpha 90.00
_cell_angle_beta 90.00
_cell_angle_gamma 90.00
loop_
_atom_site_label
_atom_site_type_symbol
_atom_site_fract_x
_atom_site_fract_y
_atom_site_fract_z
_atom_site_occupancy
Ca1 Ca 0.000 0.000 0.000 1
In1 In 0.000 0.000 0.500 1
W1 W 0.500 0.500 0.230 1
W2 W 0.500 0.500 0.770 1
```

***

# 6
The following is a DFT calculation (PBE-GGA) of a relaxed Ca2In2W crystal.

Properties
Crystal system ... tetragonal
Space-group type ... I4/mmm (139)
ΔE to the lowest computed polymorph ... 0.5112 eV/atom
ρ ... 6.628 g cm⁻³
ΔH_f (0 K) ... 0.891 eV/atom
Magnetic moment ... 1.31 μB/f.u.

CIF file:
```
data_Ca2In2W
_chemical_formula_sum 'Ca2 In2 W1'
_space_group_name_H-M_alt 'P 1'
_space_group_IT_number 1
_space_group_name_Hall 'P 1'
_cell_length_a 7.804
_cell_length_b 7.804
_cell_length_c 7.804
_cell_angle_alpha 149.28
_cell_angle_beta 149.28
_cell_angle_gamma 44.00
loop_
_atom_site_label
_atom_site_type_symbol
_atom_site_fract_x
_atom_site_fract_y
_atom_site_fract_z
_atom_site_occupancy
Ca1 Ca 0.250 0.750 0.500 1
Ca2 Ca 0.750 0.250 0.500 1
In1 In 0.091 0.091 0.000 1
In2 In 0.909 0.909 0.000 1
W1 W 0.500 0.500 0.000 1
```